# 1
BaU2SbS8: optimized geometry, PBE.

M_tot (μB per formula unit): 1.026
Space group: P2/m
Energy relative to the elements, uncorrected (eV per atom): -1.026

Geometry as CIF:
```
data_BaU2SbS8
_chemical_formula_sum 'Ba1 U2 Sb1 S8'
_cell_length_a 6.158
_cell_length_b 8.318
_cell_length_c 6.544
_cell_angle_alpha 90.00
_cell_angle_beta 92.31
_cell_angle_gamma 90.00
_space_group_name_H-M_alt 'P 1'
_space_group_IT_number 1
_space_group_name_Hall 'P 1'
loop_
_atom_site_label
_atom_site_type_symbol
_atom_site_fract_x
_atom_site_fract_y
_atom_site_fract_z
Ba1 Ba 0.000 0.000 0.000
U1 U 0.500 0.255 0.500
U2 U 0.500 0.745 0.500
Sb1 Sb 0.000 0.500 0.000
S1 S 0.270 0.280 0.174
S2 S 0.270 0.720 0.174
S3 S 0.272 0.500 0.643
S4 S 0.283 0.000 0.616
S5 S 0.717 0.000 0.384
S6 S 0.728 0.500 0.357
S7 S 0.730 0.280 0.826
S8 S 0.730 0.720 0.826
```


# 2
LaFeS2N: optimized geometry, PBE.

M_tot (μB per formula unit): 0.129
Space group: P4/mmm
Energy relative to the elements, uncorrected (eV per atom): -0.840

Geometry as CIF:
```
data_LaFeS2N
_chemical_formula_sum 'La1 Fe1 S2 N1'
_cell_length_a 4.770
_cell_length_b 4.770
_cell_length_c 3.576
_cell_angle_alpha 90.00
_cell_angle_beta 90.00
_cell_angle_gamma 90.00
_space_group_name_H-M_alt 'P 1'
_space_group_IT_number 1
_space_group_name_Hall 'P 1'
loop_
_atom_site_label
_atom_site_type_symbol
_atom_site_fract_x
_atom_site_fract_y
_atom_site_fract_z
La1 La 0.000 0.000 0.000
Fe1 Fe 0.500 0.500 0.500
S1 S 0.000 0.500 0.500
S2 S 0.500 0.000 0.500
N1 N 0.500 0.500 0.000
```


# 3
SbTe2H: optimized geometry, PBE.

M_tot (μB per formula unit): 0.000
Space group: Pc

Geometry as CIF:
```
data_SbTe2H
_chemical_formula_sum 'Sb2 Te4 H2'
_cell_length_a 7.161
_cell_length_b 4.322
_cell_length_c 7.771
_cell_angle_alpha 90.00
_cell_angle_beta 92.79
_cell_angle_gamma 90.00
_space_group_name_H-M_alt 'P 1'
_space_group_IT_number 1
_space_group_name_Hall 'P 1'
loop_
_atom_site_label
_atom_site_type_symbol
_atom_site_fract_x
_atom_site_fract_y
_atom_site_fract_z
Sb1 Sb 0.000 0.209 0.000
Sb2 Sb 0.000 0.791 0.500
Te1 Te 0.282 0.255 0.308
Te2 Te 0.282 0.745 0.808
Te3 Te 0.768 0.265 0.631
Te4 Te 0.768 0.735 0.131
H1 H 0.375 0.089 0.751
H2 H 0.375 0.911 0.251
```


# 4
Li2NbIr: optimized geometry, PBE.

M_tot (μB per formula unit): 0.000
E_form (eV per formula unit): 1.0
Space group: Fm-3m

Geometry as CIF:
```
data_Li2NbIr
_chemical_formula_sum 'Li2 Nb1 Ir1'
_cell_length_a 4.232
_cell_length_b 4.232
_cell_length_c 4.232
_cell_angle_alpha 60.00
_cell_angle_beta 60.00
_cell_angle_gamma 60.00
_space_group_name_H-M_alt 'P 1'
_space_group_IT_number 1
_space_group_name_Hall 'P 1'
loop_
_atom_site_label
_atom_site_type_symbol
_atom_site_fract_x
_atom_site_fract_y
_atom_site_fract_z
Li1 Li 0.250 0.250 0.250
Li2 Li 0.750 0.750 0.750
Nb1 Nb 0.000 0.000 0.000
Ir1 Ir 0.500 0.500 0.500
```


| no. | DFT total energy (eV for the cell shown) |
| --- | --- |
| 1 | -73.9 |
| 2 | -34.2 |
| 3 | -27.1 |
| 4 | -21.7 |